Below is a relaxed structure of ZnRu2Cl, with properties calculated at the PBE level.

Cell lengths 4.792, 5.135, 2.892 Å; angles 74.59, 88.06, 117.20 degrees
Positions (direct):
Cl 0.500 0.500 0.000
Zn 0.000 0.500 0.500
Ru 0.500 0.000 0.500
Ru 0.000 0.000 0.000

Results
Excess energy over the best structure of this formula in the dataset ... 566.0 meV per atom
Volume ... 15.0 Å³/atom
ΔE_f (raw) ... 608 meV per atom
Space group ... C2/m, No. 12